(a)
PmYHoSc, optimized geometry, DFT PBE; mass density = 5.99 g cm⁻³; M_tot = 0.001 μB/atom
1.0
-2.752 2.469 -0.899
-3.060 -1.833 4.335
2.591 6.109 0.777
Y Pm Ho Sc
1 1 1 1
Cartesian
-0.876 2.468 0.425
-0.913 5.900 1.851
-1.276 3.406 4.175
-3.753 2.845 2.189


(b)
PmYHoSc, optimized geometry, DFT PBE; mass density = 6.02 g cm⁻³; M_tot = 0.000 μB/atom
1.0
5.575 0.000 0.000
2.787 4.828 0.000
2.787 1.609 4.552
Sc Pm Y Ho
1 1 1 1
Cartesian
8.362 4.828 3.414
0.000 0.000 0.000
5.575 3.219 2.276
2.787 1.609 1.138


Stability summary - winner: (a); margin: 1.1 kJ/mol of atoms.


(a)
PmHoScZn, optimized geometry, DFT PBE; mass density = 6.80 g cm⁻³; M_tot = 0.000 μB/atom
1.0
5.254 0.000 0.000
2.627 4.550 0.000
2.627 1.517 4.290
Zn Sc Pm Ho
1 1 1 1
Cartesian
0.000 0.000 0.000
5.254 3.034 2.145
2.627 1.517 1.073
7.882 4.550 3.218


(b)
PmHoScZn, optimized geometry, DFT PBE; mass density = 6.76 g cm⁻³; M_tot = 0.000 μB/atom
1.0
-1.796 -2.688 1.288
2.573 -0.639 2.255
-3.684 5.179 5.672
Zn Sc Ho Pm
1 1 1 1
Cartesian
-2.030 2.854 3.126
-0.990 0.273 3.893
-2.463 2.345 6.161
-0.316 0.444 0.486


Stability summary - winner: (b); margin: 14.0 kJ/mol of atoms.


(a)
Pm3HoSe6, optimized geometry, DFT PBE; mass density = 6.26 g cm⁻³; M_tot = 0.000 μB/atom
1.0
-2.071 -5.305 -4.025
4.178 -4.860 4.257
-8.282 -1.456 6.467
Ho Pm Se
2 6 12
Cartesian
-3.087 -5.811 3.349
0.000 0.000 0.000
1.054 -5.083 0.116
-6.555 -8.086 2.712
-2.601 -3.284 0.246
0.381 -3.535 3.987
-3.573 -8.337 6.452
-4.141 -0.728 3.234
-5.410 -5.283 1.854
-1.638 -6.008 0.871
0.308 -2.533 1.185
-4.536 -5.613 5.828
2.078 -5.826 2.714
-0.764 -6.338 4.845
-3.685 -8.525 3.338
-6.482 -9.089 5.514
-6.334 -2.233 4.497
0.160 -9.388 2.201
-2.489 -3.096 3.361
-8.252 -5.795 3.985


(b)
Pm3HoSe6, optimized geometry, DFT PBE; mass density = 5.72 g cm⁻³; M_tot = 0.000 μB/atom
1.0
-7.893 -0.538 -3.233
3.393 0.095 -7.844
0.622 -8.517 0.355
Se Pm Ho
12 6 2
Cartesian
-1.598 -4.161 -8.132
0.625 -3.549 -4.684
-4.503 -5.411 -6.038
-2.280 -4.798 -2.590
-6.737 -3.133 -3.486
2.860 -5.826 -7.236
0.976 -7.793 -2.382
-4.854 -1.166 -8.340
-2.749 -1.828 -4.902
-1.129 -7.132 -5.820
-4.572 -8.180 -2.581
0.695 -0.780 -8.141
-4.080 -2.402 -2.375
-3.913 -8.209 -5.479
0.035 -0.751 -5.243
0.202 -6.557 -8.347
-4.448 -4.084 -8.732
0.570 -4.876 -1.990
-1.939 -4.480 -5.361
0.000 0.000 0.000


Stability summary - winner: (b); margin: 2.1 kJ/mol of atoms.


(a)
PmHoSe, optimized geometry, DFT PBE; mass density = 7.39 g cm⁻³; M_tot = 0.005 μB/atom
1.0
3.898 0.000 0.000
-1.949 3.375 0.000
0.000 0.000 6.638
Pm Se Ho
1 1 1
Cartesian
0.000 0.000 0.345
1.949 1.125 2.260
0.000 2.250 4.033


(b)
PmHoSe, optimized geometry, DFT PBE; mass density = 7.34 g cm⁻³; M_tot = 0.000 μB/atom
1.0
7.567 0.000 0.000
0.000 10.853 0.000
0.000 -5.426 4.286
Pm Ho Se
4 4 4
Cartesian
0.000 0.000 1.720
3.783 0.000 2.566
3.783 5.426 1.720
0.000 5.426 2.566
5.034 8.673 0.000
6.316 3.247 0.000
1.251 7.606 0.000
2.532 2.180 0.000
2.310 10.145 0.000
6.094 6.134 0.000
1.473 4.719 0.000
5.256 0.708 0.000


Stability summary - winner: (a); margin: 10.6 kJ/mol of atoms.


(a)
PmHo2Se4, optimized geometry, DFT PBE; mass density = 7.06 g cm⁻³; M_tot = 0.000 μB/atom
1.0
4.006 0.000 0.000
-2.003 6.718 0.000
0.000 0.000 13.828
Se Pm Ho
8 2 4
Cartesian
2.003 3.687 5.255
2.003 0.000 6.914
0.000 0.499 3.457
2.003 6.219 10.371
2.003 3.687 1.659
0.000 3.030 12.169
2.003 0.000 0.000
0.000 3.030 8.573
2.003 1.680 10.371
0.000 5.038 3.457
2.003 4.966 7.860
0.000 1.752 5.968
0.000 1.752 0.946
2.003 4.966 12.882


(b)
PmHo2Se4, optimized geometry, DFT PBE; mass density = 6.73 g cm⁻³; M_tot = 0.000 μB/atom
1.0
4.098 0.000 0.000
0.000 6.646 -2.248
0.000 0.064 7.146
Se Ho Pm
4 2 1
Cartesian
0.000 1.676 4.719
2.049 4.964 3.665
0.000 5.033 0.179
2.049 1.746 1.234
4.098 3.355 2.449
2.049 0.032 3.573
4.098 0.000 0.000


Stability summary - winner: (b); margin: 2.7 kJ/mol of atoms.


(a)
PmHo6Se8, optimized geometry, DFT PBE; mass density = 7.81 g cm⁻³; M_tot = 0.000 μB/atom
1.0
-7.653 -0.945 -2.478
-5.734 -2.162 5.296
-5.669 5.336 2.235
Ho Se Pm
6 8 1
Cartesian
-6.661 2.196 -0.122
-3.826 -0.473 -1.239
-2.834 2.668 1.117
-6.693 -1.554 1.409
-5.701 1.587 3.765
-2.867 -1.081 2.648
-11.353 2.691 1.193
-14.292 1.672 3.789
-7.671 3.146 2.386
-10.430 2.105 4.934
-8.626 0.123 0.118
-7.702 -0.462 3.859
-11.385 -0.917 2.666
-4.764 0.557 1.263
0.000 0.000 0.000


(b)
PmHo6Se8, optimized geometry, DFT PBE; mass density = 6.52 g cm⁻³; M_tot = 0.005 μB/atom
1.0
7.670 -0.054 -0.056
-0.293 7.665 -0.056
-0.293 -0.302 7.659
Se Ho Pm
8 6 1
Cartesian
5.442 5.614 5.798
0.742 5.481 2.746
6.341 1.827 4.801
2.544 0.822 5.566
1.629 4.593 6.546
4.540 6.486 1.981
1.642 1.694 1.749
5.455 2.715 1.001
4.223 3.071 6.143
2.938 6.001 4.512
2.861 4.237 1.404
5.906 4.409 3.267
1.177 2.899 4.280
4.146 1.307 3.035
0.000 0.000 0.000


Stability summary - winner: (a); margin: 33.6 kJ/mol of atoms.